No. 1
Ca2RuAu | meta-GGA SCAN | single point on PBEsol structure

POSCAR file:
```
Ca2RuAu
1.0
1.700 0.982 8.597
-1.700 0.982 8.597
0.000 -1.964 8.597
Ca Ru Au
2 1 1
direct
0.245 0.245 0.245 Ca
0.755 0.755 0.755 Ca
0.500 0.500 0.500 Ru
0.000 0.000 0.000 Au
```

As for the space group: R-3m, No. 166. The calculation puts the density at 7.3 g cm⁻³. The energy relative to the elements comes out at 0.133 eV/f.u. The value obtained for the total moment is 0.00 μB/cell.

=====

No. 2
CaRuAu | meta-GGA SCAN | single point on PBEsol structure

POSCAR file:
```
CaRuAu
1.0
-1.459 1.459 6.411
1.459 -1.459 6.411
1.459 1.459 -6.411
Ca Ru Au
1 1 1
direct
0.000 0.000 0.000 Ca
0.328 0.328 0.000 Ru
0.682 0.682 0.000 Au
```

As for the space group: I4mm, No. 107. The calculation puts the density at 10.3 g cm⁻³. The energy relative to the elements comes out at 0.489 eV/f.u. The value obtained for the total moment is 1.43 μB/cell.

=====

No. 3
CaRuAu | meta-GGA SCAN | single point on PBEsol structure

POSCAR file:
```
CaRuAu
1.0
4.449 0.000 0.000
-2.225 3.853 0.000
0.000 0.000 3.452
Ca Ru Au
1 1 1
direct
0.000 0.000 0.000 Ca
0.333 0.667 0.500 Ru
0.667 0.333 0.500 Au
```

As for the space group: P-6m2, No. 187. The calculation puts the density at 9.5 g cm⁻³. The energy relative to the elements comes out at -0.024 eV/f.u. The value obtained for the total moment is 0.57 μB/cell.

=====

No. 4
CaRuAu2 | meta-GGA SCAN | single point on PBEsol structure

POSCAR file:
```
CaRuAu2
1.0
4.909 -1.400 0.000
4.909 1.400 0.000
-0.892 0.000 5.131
Ca Ru Au
1 1 2
direct
0.000 0.000 0.000 Ca
0.500 0.500 0.500 Ru
0.236 0.236 0.731 Au
0.764 0.764 0.269 Au
```

As for the space group: C2/m, No. 12. The calculation puts the density at 12.6 g cm⁻³. The energy relative to the elements comes out at 0.272 eV/f.u. The value obtained for the total moment is 0.60 μB/cell.

=====

No. 5
CaSb2Au2 | meta-GGA SCAN | single point on PBEsol structure

POSCAR file:
```
CaSb2Au2
1.0
-2.147 2.147 6.572
2.147 -2.147 6.572
2.147 2.147 -6.572
Ca Sb Au
1 2 2
direct
0.000 0.000 0.000 Ca
0.386 0.386 0.000 Sb
0.614 0.614 0.000 Sb
0.250 0.750 0.500 Au
0.750 0.250 0.500 Au
```

As for the space group: I4/mmm, No. 139. The calculation puts the density at 9.3 g cm⁻³. For the energy relative to the elements, uncorrected, the calculation gives -2.03 eV/f.u. The value obtained for the total moment is 0.00 μB/cell.

=====

No. 6
Ca2SbAu | meta-GGA SCAN | single point on PBEsol structure

POSCAR file:
```
Ca2SbAu
1.0
0.000 3.676 3.676
3.676 0.000 3.676
3.676 3.676 0.000
Ca Sb Au
2 1 1
direct
0.000 0.000 0.000 Ca
0.250 0.250 0.250 Ca
0.750 0.750 0.750 Sb
0.500 0.500 0.500 Au
```

As for the space group: F-43m, No. 216. The calculation puts the density at 6.7 g cm⁻³. For the energy relative to the elements, uncorrected, the calculation gives -1.89 eV/f.u. The value obtained for the total moment is 0.00 μB/cell.

=====

No. 7
Ca2SbAu | meta-GGA SCAN | single point on PBEsol structure

POSCAR file:
```
Ca2SbAu
1.0
4.504 0.000 0.000
0.000 2.103 5.632
0.000 -2.103 5.632
Ca Sb Au
2 1 1
direct
0.000 0.000 0.000 Ca
0.500 0.282 0.282 Ca
0.000 0.718 0.718 Sb
0.500 0.554 0.554 Au
```

As for the space group: Amm2, No. 38. The calculation puts the density at 6.2 g cm⁻³. For the energy relative to the elements, uncorrected, the calculation gives -4.05 eV/f.u. The value obtained for the total moment is 0.00 μB/cell.

=====

No. 8
Ca2SbAu | meta-GGA SCAN | single point on PBEsol structure

POSCAR file:
```
Ca2SbAu
1.0
5.149 0.000 0.000
0.000 5.149 0.000
0.000 0.000 3.786
Ca Sb Au
2 1 1
direct
0.000 0.500 0.000 Ca
0.500 0.000 0.000 Ca
0.000 0.000 0.500 Sb
0.500 0.500 0.500 Au
```

As for the space group: P4/mmm, No. 123. The calculation puts the density at 6.6 g cm⁻³. For the energy relative to the elements, uncorrected, the calculation gives -3.81 eV/f.u. The value obtained for the total moment is 0.00 μB/cell.